Compound: Pt2SeI
Source: Alexandria
Functional: PBE-GGA
Structure: relaxed

Output
For the size of the total moment, the calculation gives 0.00 μB/cell. The distance to the lowest polymorph of the same formula is 0 meV per atom. As for the uncorrected formation energy: 0.7 eV/f.u. The total energy is -0.1506 Ha/atom.

a b c (Å): 6.799 6.799 6.799
angles (deg): 124.52 124.52 82.34
Atoms (fractional coordinates):
Pt (0.081, 0.625, 0.956)
Pt (0.375, 0.331, 0.456)
Pt (0.669, 0.125, 0.044)
Pt (0.875, 0.919, 0.544)
Se (0.000, 0.000, 0.000)
Se (0.750, 0.250, 0.500)
I (0.250, 0.750, 0.500)
I (0.500, 0.500, 0.000)